No. 1
Here is crystalline GaFeTe3 at its relaxed geometry from Alexandria via LeMat-Bulk. Energies are from PBE.

Calculated values
The calculation puts the magnetic moment at 0.014 μB per cell. For the uncorrected energy, the calculation gives -18.90 eV per formula unit. The uncorrected formation energy is 0.4022 eV per atom. The calculation puts the density of states at the Fermi level at 10.48 states/eV/cell. Its space group is Pm-3m.

```
GaFeTe3
1.0
-1.584 -2.865 -3.922
-3.526 -2.158 3.001
-3.340 3.638 -1.308
Te Fe Ga
3 1 1
direct
0.000 0.500 0.000
0.000 0.000 0.500
0.500 0.000 0.000
0.000 0.000 0.000
0.500 0.500 0.500
```



No. 2
Here is crystalline GaFeTe3 at its relaxed geometry from Alexandria via LeMat-Bulk. Energies are from PBE.

Calculated values
The calculation puts the magnetic moment at 3.930 μB per cell. For the uncorrected energy, the calculation gives -16.53 eV per formula unit. The uncorrected formation energy is 0.8768 eV per atom. The calculation puts the density of states at the Fermi level at 5.31 states/eV/cell. Its space group is Pm-3m.

```
GaFeTe3
1.0
5.330 0.000 0.000
0.000 5.330 0.000
0.000 0.000 5.330
Te Fe Ga
3 1 1
direct
0.000 0.500 0.000
0.000 0.000 0.500
0.500 0.000 0.000
0.500 0.500 0.500
0.000 0.000 0.000
```